Here is a relaxed PmPuSi3 crystal from Alexandria. Energies are from PBE.

Unit cell a=4.1679 b=24.8332 c=3.9967 alpha=90.00 beta=90.00 gamma=90.00
Space group Cmcm (No. 63)
Asymmetric unit:
Pm 0.0000 0.2024 0.2500
Pu 0.0000 0.0692 0.7500
Si 0.0000 0.3292 0.2500
Si 0.0000 0.3837 0.7500
Si 0.0000 0.4766 0.7500

Computed properties:
- E (eV/f.u.) = -38.2
- raw formation energy (kJ/mol of formula units) = -274
- ρ (g cm⁻³) = 7.6

---

Here is a relaxed Tb12Tl6Zn crystal from Alexandria. Energies are from PBE.

Unit cell a=13.4806 b=13.4806 c=12.3559 alpha=90.00 beta=90.00 gamma=120.00
Space group R-3 (No. 148, hexagonal axes)
Asymmetric unit:
Tb 0.0350 0.8259 0.3928
Tb 0.0493 0.8449 0.8877
Tl 0.0480 0.7791 0.6467
Zn 0.0000 0.0000 0.0000

Computed properties:
- E_form (kcal/mol of atoms) = 0.5
- E (eV/f.u.) = -70.6
- ρ (g cm⁻³) = 8.2

---

> The highest ρ belongs to which entry?

Tb12Tl6Zn

---

> Look up the ρ of the first one.

7.6 g cm⁻³

---

> Which value of E does entry 1 give?

-38.2 eV/f.u.